Record 1
This record from Alexandria describes a relaxed Li3Pm2US6 crystal. The functional is GGA-PBE.

a b c (Å): 6.903 6.903 6.619
angles (deg): 100.01 100.01 119.99
Atoms (fractional coordinates):
Li 0.000 0.000 0.000
Li 0.337 0.663 0.000
Li 0.663 0.337 0.000
Pm 0.167 0.833 0.500
Pm 0.833 0.167 0.500
U 0.500 0.500 0.500
S 0.089 0.414 0.243
S 0.260 0.260 0.754
S 0.414 0.089 0.243
S 0.586 0.911 0.757
S 0.740 0.740 0.246
S 0.911 0.586 0.757

Values from the calculation:
Crystal system: monoclinic
Magnetic moment in Bohr magnetons per cell: 2.955
Uncorrected formation energy in eV/atom: -1.630
DFT total energy in eV per cell: -70.9



Record 2
This record from Alexandria describes a relaxed Li2Pm2US6 crystal. The functional is GGA-PBE.

a b c (Å): 7.009 7.009 6.517
angles (deg): 99.35 99.35 120.08
Atoms (fractional coordinates):
Li 0.156 0.844 0.000
Li 0.844 0.156 0.000
Pm 0.334 0.666 0.500
Pm 0.666 0.334 0.500
U 0.000 0.000 0.500
S 0.066 0.394 0.744
S 0.238 0.238 0.254
S 0.394 0.066 0.744
S 0.606 0.934 0.256
S 0.762 0.762 0.746
S 0.934 0.606 0.256

Values from the calculation:
Crystal system: monoclinic
Magnetic moment in Bohr magnetons per cell: 2.001
Uncorrected formation energy in eV/atom: -1.654
DFT total energy in eV per cell: -67.6



Record 3
This record from Alexandria describes a relaxed Li4Pm3US8 crystal. The functional is GGA-PBE.

a b c (Å): 7.734 7.734 7.734
angles (deg): 62.21 62.21 62.21
Atoms (fractional coordinates):
Li 0.000 0.000 0.000
Li 0.000 0.500 0.500
Li 0.500 0.000 0.500
Li 0.500 0.500 0.000
Pm 0.000 0.000 0.500
Pm 0.000 0.500 0.000
Pm 0.500 0.000 0.000
U 0.500 0.500 0.500
S 0.252 0.252 0.741
S 0.252 0.741 0.252
S 0.253 0.253 0.253
S 0.259 0.748 0.748
S 0.741 0.252 0.252
S 0.747 0.747 0.747
S 0.748 0.259 0.748
S 0.748 0.748 0.259

Values from the calculation:
Crystal system: trigonal
Magnetic moment in Bohr magnetons per cell: 2.946
Uncorrected formation energy in eV/atom: -1.674
DFT total energy in eV per cell: -93.0